Entry from Alexandria: a geometry-optimized Sm2YMg5 structure (PBE).

* electronic total energy: -3.0666 eV/atom
* symmetry: No. 139

Structure (CIF):
```
data_Sm2YMg5
_symmetry_space_group_name_H-M 'P 1'
_symmetry_Int_Tables_number 1
_cell_length_a 5.249
_cell_length_b 5.249
_cell_length_c 8.617
_cell_angle_alpha 107.73
_cell_angle_beta 107.73
_cell_angle_gamma 90.00
loop_
_symmetry_equiv_pos_as_xyz
'x,y,z'
loop_
_atom_site_label
_atom_site_fract_x
_atom_site_fract_y
_atom_site_fract_z
Mg1 0.117 0.617 0.233
Mg2 0.383 0.883 0.767
Mg3 0.883 0.383 0.767
Mg4 0.617 0.117 0.233
Mg5 0.500 0.500 0.000
Y1 0.000 0.000 0.000
Sm1 0.259 0.259 0.517
Sm2 0.741 0.741 0.483
```